# 1
Here is a geometry-optimized YMg14Nb structure from Alexandria. Energies are from GGA-PBE.

Calculated values
Spin magnetization = 0.003 μB/f.u.
Relative energy among the computed polymorphs = 12 meV per atom

a = 6.461 Å, b = 6.461 Å, c = 10.171 Å
α = 90.00°, β = 90.00°, γ = 120.00°
Atoms (fractional coordinates):
Mg 0.667 0.333 0.759
Mg 0.163 0.837 0.738
Mg 0.502 0.498 0.500
Mg 0.163 0.837 0.262
Mg 0.502 0.004 0.500
Mg 0.674 0.837 0.738
Nb 0.000 0.000 0.500
Mg 0.494 0.988 0.000
Mg 0.494 0.506 0.000
Mg 0.163 0.326 0.262
Mg 0.674 0.837 0.262
Mg 0.163 0.326 0.738
Mg 0.667 0.333 0.241
Mg 0.996 0.498 0.500
Mg 0.012 0.506 0.000
Y 0.000 0.000 0.000

---

# 2
Here is a geometry-optimized Ce4P3N2 structure from Alexandria. Energies are from GGA-PBE.

Calculated values
Formation energy (no corrections) = -1.382 eV/atom
Spin magnetization = 1.040 μB/f.u.

a = 3.959 Å, b = 6.703 Å, c = 8.927 Å
α = 122.74°, β = 90.00°, γ = 107.18°
Each line ends with the local moment (μB).
Atoms (fractional coordinates):
Ce 0.688 0.375 0.115  0.23
Ce 0.102 0.205 0.394  0.26
N 0.313 0.627 0.641  -0.02
Ce 0.898 0.795 0.606  0.26
Ce 0.312 0.625 0.885  0.23
P 0.384 0.768 0.280  -0.02
P 0.000 0.000 0.000  -0.02
N 0.687 0.373 0.359  -0.02
P 0.616 0.232 0.720  -0.02

---

# 3
Here is a geometry-optimized Ca4InAs structure from Alexandria. Energies are from GGA-PBE.

Calculated values
Energy = -2.362 eV/atom
Spin magnetization = 0.001 μB/f.u.

a = 6.506 Å, b = 6.506 Å, c = 6.506 Å
α = 60.00°, β = 60.00°, γ = 60.00°
Atoms (fractional coordinates):
As 0.000 0.000 0.000
Ca 0.375 0.375 0.375
In 0.750 0.750 0.750
Ca 0.375 0.375 0.876
Ca 0.876 0.375 0.375
Ca 0.375 0.876 0.375

---

# 4
Here is a geometry-optimized Ho12Tl5Au2 structure from Alexandria. Energies are from GGA-PBE.

Calculated values
Energy = -4.110 eV/atom
Spin magnetization = 0.003 μB/f.u.

a = 7.245 Å, b = 9.287 Å, c = 8.951 Å
α = 84.77°, β = 90.00°, γ = 112.96°
Atoms (fractional coordinates):
Tl 0.295 0.591 0.239
Ho 0.086 0.686 0.925
Tl 0.229 0.457 0.749
Tl 0.705 0.409 0.761
Ho 0.892 0.298 0.489
Ho 0.600 0.686 0.925
Ho 0.958 0.916 0.184
Ho 0.594 0.702 0.511
Tl 0.771 0.543 0.251
Ho 0.406 0.298 0.489
Ho 0.501 0.003 0.302
Au 0.312 0.000 0.000
Tl 0.000 0.000 0.500
Ho 0.400 0.314 0.075
Ho 0.108 0.702 0.511
Ho 0.914 0.314 0.075
Ho 0.499 0.997 0.698
Ho 0.042 0.084 0.816
Au 0.688 0.000 0.000

---

Look up the spin magnetization of the first one. 0.003 μB/f.u.